# Li2MnP4H16O20, optimized geometry, DFT GGA+U
data_Li2MnP4H16O20
_symmetry_space_group_name_H-M 'P 1 21/c 1'
_symmetry_Int_Tables_number 14
_cell_length_a 7.201
_cell_length_b 10.673
_cell_length_c 11.918
_cell_angle_alpha 90.00
_cell_angle_beta 115.27
_cell_angle_gamma 90.00
loop_
_symmetry_equiv_pos_as_xyz
'x,y,z'
'-x,-y,-z'
'-x,y+1/2,-z+1/2'
'x,-y+1/2,z+1/2'
loop_
_atom_site_label
_atom_site_type_symbol
_atom_site_fract_x
_atom_site_fract_y
_atom_site_fract_z
Li1 Li 0.207 0.159 0.451
Mn1 Mn 0.500 0.000 0.000
P1 P 0.037 0.043 0.775
P2 P 0.319 0.733 0.088
H1 H 0.098 0.589 0.427
H2 H 0.106 0.597 0.951
H3 H 0.140 0.711 0.718
H4 H 0.244 0.103 0.103
H5 H 0.325 0.049 0.686
H6 H 0.457 0.174 0.156
H7 H 0.476 0.556 0.104
H8 H 0.499 0.130 0.681
O1 O 0.008 0.186 0.801
O2 O 0.025 0.040 0.135
O3 O 0.108 0.509 0.858
O4 O 0.112 0.658 0.023
O5 O 0.266 0.027 0.810
O6 O 0.309 0.647 0.516
O7 O 0.346 0.140 0.078
O8 O 0.353 0.745 0.722
O9 O 0.389 0.071 0.628
O10 O 0.499 0.648 0.084
# total DFT energy (no corrections): -5.90 eV/atom
# Fermi-level density of states: 0.0 states/eV/cell
# crystal system: monoclinic